Entry 1:
SrLi4ZnCd2: optimized geometry, PBE.

abc: 9.668 9.668 9.668
angles: 28.05 28.05 28.05
Element x y z (fractional)
Sr 0.000 0.000 0.000
Li 0.136 0.136 0.136
Li 0.409 0.409 0.409
Li 0.591 0.591 0.591
Li 0.864 0.864 0.864
Zn 0.500 0.500 0.500
Cd 0.240 0.240 0.240
Cd 0.760 0.760 0.760

* total magnetic moment: 0.000 μB per cell
* DOS at the Fermi energy: 3.53 states/eV/cell
* uncorrected energy: -1.71 eV/atom
* SG: R-3m

---

Entry 2:
Sr2TcAg: optimized geometry, PBE.

abc: 6.609 6.609 6.609
angles: 147.96 132.87 58.13
Element x y z (fractional)
Sr 0.000 0.000 0.000
Sr 0.709 0.209 0.500
Tc 0.259 0.759 0.500
Ag 0.439 0.439 0.000

* total magnetic moment: 1.719 μB per cell
* DOS at the Fermi energy: 3.73 states/eV/cell
* uncorrected energy: -3.63 eV/atom
* SG: Imm2

---

Entry 3:
Er4TmS4: optimized geometry, PBE.

abc: 6.622 6.622 6.622
angles: 99.70 99.70 131.54
Element x y z (fractional)
Er 0.102 0.700 0.803
Er 0.300 0.102 0.402
Er 0.700 0.898 0.598
Er 0.898 0.300 0.197
Tm 0.500 0.500 0.000
S 0.199 0.403 0.602
S 0.403 0.801 0.203
S 0.597 0.199 0.797
S 0.801 0.597 0.398

* total magnetic moment: 0.000 μB per cell
* DOS at the Fermi energy: 5.40 states/eV/cell
* uncorrected energy: -6.08 eV/atom
* formation energy from raw total energies: -1.719 eV per atom
* SG: I4/m

---

Entry 4:
Pa2Ga3Pd: optimized geometry, PBE.

abc: 3.371 4.540 7.813
angles: 90.00 90.00 90.00
Element x y z (fractional)
Pa 0.000 0.000 0.000
Pa 0.000 0.500 0.489
Ga 0.500 0.000 0.662
Ga 0.500 0.500 0.159
Ga 0.500 0.500 0.825
Pd 0.500 0.000 0.328

* total magnetic moment: 0.000 μB per cell
* DOS at the Fermi energy: 6.40 states/eV/cell
* uncorrected energy: -6.02 eV/atom
* SG: Pmm2

---

Entry 5:
Sc2MnAsC: optimized geometry, PBE.

abc: 4.544 4.544 3.768
angles: 90.00 90.00 90.00
Element x y z (fractional)
Sc 0.000 0.500 0.000
Sc 0.500 0.000 0.000
Mn 0.000 0.000 0.500
As 0.500 0.500 0.500
C 0.000 0.000 0.000

* total magnetic moment: 1.739 μB per cell
* DOS at the Fermi energy: 3.74 states/eV/cell
* uncorrected energy: -7.72 eV/atom
* SG: P4/mmm

---

Entry 6:
PmHo5TmSc2: optimized geometry, PBE.

abc: 11.048 11.048 9.282
angles: 90.00 90.00 150.80
Element x y z (fractional)
Pm 0.184 0.816 0.500
Pm 0.816 0.184 0.000
Ho 0.010 0.990 0.496
Ho 0.265 0.735 0.816
Ho 0.307 0.693 0.201
Ho 0.392 0.608 0.530
Ho 0.469 0.531 0.231
Ho 0.531 0.469 0.731
Ho 0.608 0.392 0.030
Ho 0.693 0.307 0.701
Ho 0.735 0.265 0.316
Ho 0.990 0.010 0.996
Tm 0.403 0.597 0.903
Tm 0.597 0.403 0.403
Sc 0.113 0.887 0.807
Sc 0.136 0.864 0.182
Sc 0.864 0.136 0.682
Sc 0.887 0.113 0.307

* total magnetic moment: 0.000 μB per cell
* DOS at the Fermi energy: 27.01 states/eV/cell
* uncorrected energy: -4.81 eV/atom
* SG: Cmc2_1

---

Entry 7:
MgTiSi3: optimized geometry, PBE.

abc: 4.770 4.770 4.770
angles: 90.00 90.00 90.00
Element x y z (fractional)
Mg 0.000 0.000 0.000
Ti 0.500 0.500 0.500
Si 0.000 0.500 0.500
Si 0.500 0.000 0.500
Si 0.500 0.500 0.000

* total magnetic moment: 0.000 μB per cell
* DOS at the Fermi energy: 2.23 states/eV/cell
* uncorrected energy: -4.69 eV/atom
* formation energy from raw total energies: 0.457 eV per atom
* SG: Pm-3m

---

Entry 8:
TaRhSe2: optimized geometry, PBE.

abc: 7.006 7.006 7.006
angles: 148.75 147.73 45.54
Element x y z (fractional)
Ta 0.000 0.000 0.000
Rh 0.500 0.500 0.000
Se 0.361 0.861 0.500
Se 0.639 0.139 0.500

* total magnetic moment: 0.000 μB per cell
* DOS at the Fermi energy: 3.70 states/eV/cell
* uncorrected energy: -6.88 eV/atom
* formation energy from raw total energies: -0.337 eV per atom
* SG: Immm

---

Entry 9:
RbU2SiO8: optimized geometry, PBE.

abc: 5.025 5.025 7.173
angles: 92.84 92.84 81.70
Element x y z (fractional)
Rb 0.000 0.000 0.000
U 0.486 0.486 0.734
U 0.514 0.514 0.266
Si 0.000 0.000 0.500
O 0.176 0.805 0.328
O 0.195 0.824 0.672
O 0.318 0.318 0.507
O 0.346 0.346 0.048
O 0.654 0.654 0.952
O 0.682 0.682 0.493
O 0.805 0.176 0.328
O 0.824 0.195 0.672

* total magnetic moment: 1.007 μB per cell
* DOS at the Fermi energy: 5.61 states/eV/cell
* uncorrected energy: -8.33 eV/atom
* formation energy from raw total energies: -2.611 eV per atom
* SG: C2/m

---

Entry 10:
Cd3Se: optimized geometry, PBE.

abc: 4.037 6.362 4.034
angles: 90.00 90.00 90.00
Element x y z (fractional)
Cd 0.000 0.000 0.000
Cd 0.000 0.500 0.008
Cd 0.500 0.000 0.500
Se 0.500 0.500 0.507

* total magnetic moment: 0.000 μB per cell
* DOS at the Fermi energy: 1.92 states/eV/cell
* uncorrected energy: -1.62 eV/atom
* formation energy from raw total energies: -0.059 eV per atom
* SG: Pmm2

---

Entry 11:
Ba2LiRhAu: optimized geometry, PBE.

abc: 5.898 5.898 4.723
angles: 90.00 90.00 90.00
Element x y z (fractional)
Ba 0.000 0.500 0.000
Ba 0.500 0.000 0.000
Li 0.000 0.000 0.500
Rh 0.000 0.000 0.000
Au 0.500 0.500 0.500

* total magnetic moment: 0.000 μB per cell
* DOS at the Fermi energy: 2.48 states/eV/cell
* uncorrected energy: -3.49 eV/atom
* SG: P4/mmm

---

Entry 12:
KIn6S8: optimized geometry, PBE.

abc: 7.368 7.368 7.368
angles: 94.37 94.37 94.37
Element x y z (fractional)
K 0.000 0.000 0.000
In 0.137 0.366 0.605
In 0.366 0.605 0.137
In 0.395 0.863 0.634
In 0.605 0.137 0.366
In 0.634 0.395 0.863
In 0.863 0.634 0.395
S 0.174 0.808 0.341
S 0.192 0.659 0.826
S 0.319 0.319 0.319
S 0.341 0.174 0.808
S 0.659 0.826 0.192
S 0.681 0.681 0.681
S 0.808 0.341 0.174
S 0.826 0.192 0.659

* total magnetic moment: 0.000 μB per cell
* DOS at the Fermi energy: 8.81 states/eV/cell
* uncorrected energy: -3.86 eV/atom
* formation energy from raw total energies: -0.495 eV per atom
* SG: R-3

---

Entry 13:
Nd2Al3Cu12Ag: optimized geometry, PBE.

abc: 9.773 9.773 9.773
angles: 37.52 37.52 37.52
Element x y z (fractional)
Nd 0.142 0.142 0.142
Nd 0.858 0.858 0.858
Al 0.000 0.500 0.500
Al 0.500 0.000 0.500
Al 0.500 0.500 0.000
Cu 0.059 0.618 0.618
Cu 0.084 0.084 0.702
Cu 0.084 0.702 0.084
Cu 0.298 0.916 0.916
Cu 0.382 0.382 0.941
Cu 0.382 0.941 0.382
Cu 0.618 0.059 0.618
Cu 0.618 0.618 0.059
Cu 0.702 0.084 0.084
Cu 0.916 0.298 0.916
Cu 0.916 0.916 0.298
Cu 0.941 0.382 0.382
Ag 0.500 0.500 0.500

* total magnetic moment: 0.000 μB per cell
* DOS at the Fermi energy: 7.68 states/eV/cell
* uncorrected energy: -3.93 eV/atom
* SG: R-3m

---

Entry 14:
KMgIr: optimized geometry, PBE.

abc: 3.047 3.047 8.072
angles: 90.00 90.00 120.00
Element x y z (fractional)
K 0.000 0.000 0.000
Mg 0.667 0.333 0.429
Ir 0.333 0.667 0.675

* total magnetic moment: 0.000 μB per cell
* DOS at the Fermi energy: 1.93 states/eV/cell
* uncorrected energy: -3.41 eV/atom
* SG: P3m1

---

Entry 15:
GaHI2O: optimized geometry, PBE.

abc: 6.092 6.092 2.901
angles: 90.00 90.00 90.00
Element x y z (fractional)
Ga 0.000 0.000 0.000
H 0.500 0.500 0.500
I 0.000 0.500 0.500
I 0.500 0.000 0.500
O 0.500 0.500 0.000

* total magnetic moment: 0.000 μB per cell
* DOS at the Fermi energy: 4.88 states/eV/cell
* uncorrected energy: -2.64 eV/atom
* SG: P4/mmm

---

Entry 16:
P2RuSe: optimized geometry, PBE.

abc: 4.396 4.396 4.396
angles: 120.34 120.34 89.42
Element x y z (fractional)
P 0.000 0.000 0.000
P 0.750 0.250 0.500
Ru 0.250 0.750 0.500
Se 0.500 0.500 0.000

* total magnetic moment: 0.000 μB per cell
* DOS at the Fermi energy: 3.22 states/eV/cell
* uncorrected energy: -5.39 eV/atom
* formation energy from raw total energies: 0.507 eV per atom
* SG: I-4m2

---

Entry 17:
Li2CaGa: optimized geometry, PBE.

abc: 6.666 6.666 6.666
angles: 150.64 134.92 54.72
Element x y z (fractional)
Li 0.218 0.218 0.000
Li 0.782 0.782 0.000
Ca 0.500 0.500 0.000
Ga 0.000 0.000 0.000

* total magnetic moment: 0.000 μB per cell
* DOS at the Fermi energy: 2.98 states/eV/cell
* uncorrected energy: -2.25 eV/atom
* SG: Immm

---

Entry 18:
CeSm8Ho4: optimized geometry, PBE.

abc: 10.019 10.019 10.019
angles: 43.06 43.06 43.06
Element x y z (fractional)
Ce 0.000 0.000 0.000
Sm 0.245 0.245 0.702
Sm 0.245 0.702 0.245
Sm 0.279 0.279 0.279
Sm 0.298 0.755 0.755
Sm 0.702 0.245 0.245
Sm 0.721 0.721 0.721
Sm 0.755 0.298 0.755
Sm 0.755 0.755 0.298
Ho 0.000 0.000 0.500
Ho 0.000 0.500 0.000
Ho 0.500 0.000 0.000
Ho 0.500 0.500 0.500

* total magnetic moment: 0.002 μB per cell
* DOS at the Fermi energy: 20.15 states/eV/cell
* uncorrected energy: -4.62 eV/atom
* SG: R-3m

---

Entry 19:
LaZnCuPt3: optimized geometry, PBE.

abc: 6.885 6.885 5.790
angles: 90.00 90.00 123.71
Element x y z (fractional)
La 0.207 0.793 0.750
La 0.793 0.207 0.250
Zn 0.139 0.861 0.250
Zn 0.861 0.139 0.750
Cu 0.439 0.561 0.750
Cu 0.561 0.439 0.250
Pt 0.209 0.209 0.000
Pt 0.209 0.209 0.500
Pt 0.342 0.658 0.250
Pt 0.658 0.342 0.750
Pt 0.791 0.791 0.000
Pt 0.791 0.791 0.500

* total magnetic moment: 0.000 μB per cell
* DOS at the Fermi energy: 4.05 states/eV/cell
* uncorrected energy: -5.24 eV/atom
* SG: Cmcm

---

Entry 20:
Ti3ZnN: optimized geometry, PBE.

abc: 5.304 5.304 5.304
angles: 91.37 91.37 91.37
Element x y z (fractional)
Ti 0.000 0.250 0.500
Ti 0.000 0.750 0.500
Ti 0.250 0.500 0.000
Ti 0.500 0.000 0.250
Ti 0.500 0.000 0.750
Ti 0.750 0.500 0.000
Zn 0.000 0.000 0.000
Zn 0.500 0.500 0.500
N 0.250 0.250 0.250
N 0.750 0.750 0.750

* total magnetic moment: 0.000 μB per cell
* DOS at the Fermi energy: 11.63 states/eV/cell
* uncorrected energy: -6.96 eV/atom
* formation energy from raw total energies: -0.308 eV per atom
* SG: R-3c

---

Entry 21:
CaBe2Al: optimized geometry, PBE.

abc: 3.312 3.859 5.556
angles: 90.00 107.26 90.00
Element x y z (fractional)
Ca 0.000 0.000 0.000
Be 0.276 0.000 0.549
Be 0.365 0.500 0.730
Al 0.702 0.500 0.404

* total magnetic moment: 0.000 μB per cell
* DOS at the Fermi energy: 1.08 states/eV/cell
* uncorrected energy: -3.13 eV/atom
* SG: Pm

---

Entry 22:
TlBiCl2F: optimized geometry, PBE.

abc: 5.822 5.822 4.572
angles: 90.00 90.00 90.00
Element x y z (fractional)
Tl 0.000 0.000 0.000
Bi 0.500 0.500 0.500
Cl 0.000 0.500 0.500
Cl 0.500 0.000 0.500
F 0.500 0.500 0.000

* total magnetic moment: 0.000 μB per cell
* DOS at the Fermi energy: 2.87 states/eV/cell
* uncorrected energy: -3.46 eV/atom
* formation energy from raw total energies: -1.100 eV per atom
* SG: P4/mmm

---

Entry 23:
Zn2Ni9Ge: optimized geometry, PBE.

abc: 3.584 3.584 10.695
angles: 90.00 90.00 90.00
Element x y z (fractional)
Zn 0.000 0.000 0.166
Zn 0.000 0.000 0.834
Ni 0.000 0.500 0.000
Ni 0.000 0.500 0.335
Ni 0.000 0.500 0.665
Ni 0.500 0.000 0.000
Ni 0.500 0.000 0.335
Ni 0.500 0.000 0.665
Ni 0.500 0.500 0.167
Ni 0.500 0.500 0.500
Ni 0.500 0.500 0.833
Ge 0.000 0.000 0.500

* total magnetic moment: 2.785 μB per cell
* DOS at the Fermi energy: 11.70 states/eV/cell
* uncorrected energy: -5.10 eV/atom
* SG: P4/mmm

---

Entry 24:
AcPmZr: optimized geometry, PBE.

abc: 8.161 8.161 8.161
angles: 154.78 154.78 35.97
Element x y z (fractional)
Ac 0.000 0.000 0.000
Pm 0.693 0.693 0.000
Zr 0.338 0.338 0.000

* total magnetic moment: 0.000 μB per cell
* DOS at the Fermi energy: 4.15 states/eV/cell
* uncorrected energy: -5.61 eV/atom
* SG: I4mm